Material: ScTl2Co
Method: DFT, GGA-PBE
State: optimized geometry

For the calculated formation energy, the calculation gives 0.1825 eV per atom.

The structure in CIF format:
```
data_ScTl2Co
_symmetry_space_group_name_H-M 'P 4/m m m'
_symmetry_Int_Tables_number 123
_symmetry_space_group_name_Hall '-P 4 2'
_cell_length_a 4.357
_cell_length_b 4.357
_cell_length_c 4.305
_cell_angle_alpha 90.00
_cell_angle_beta 90.00
_cell_angle_gamma 90.00
loop_
_atom_site_label
_atom_site_fract_x
_atom_site_fract_y
_atom_site_fract_z
Sc1 0.000 0.000 0.000
Tl1 0.000 0.500 0.500
Co1 0.500 0.500 0.000
```

***

Material: Sc3TlCo2
Method: DFT, GGA-PBE
State: optimized geometry

For the calculated formation energy, the calculation gives -0.3351 eV per atom.

The structure in CIF format:
```
data_Sc3TlCo2
_symmetry_space_group_name_H-M 'P 4/m m m'
_symmetry_Int_Tables_number 123
_symmetry_space_group_name_Hall '-P 4 2'
_cell_length_a 3.138
_cell_length_b 3.138
_cell_length_c 11.056
_cell_angle_alpha 90.00
_cell_angle_beta 90.00
_cell_angle_gamma 90.00
loop_
_atom_site_label
_atom_site_fract_x
_atom_site_fract_y
_atom_site_fract_z
Sc1 0.000 0.000 0.000
Sc2 0.000 0.000 0.282
Tl1 0.500 0.500 0.500
Co1 0.500 0.500 0.147
```

***

Material: Sc2TlCo
Method: DFT, GGA-PBE
State: optimized geometry

For the calculated formation energy, the calculation gives -0.3240 eV per atom.

The structure in CIF format:
```
data_Sc2TlCo
_symmetry_space_group_name_H-M 'P m m m'
_symmetry_Int_Tables_number 47
_symmetry_space_group_name_Hall '-P 2 2'
_cell_length_a 3.149
_cell_length_b 3.184
_cell_length_c 7.756
_cell_angle_alpha 90.00
_cell_angle_beta 90.00
_cell_angle_gamma 90.00
loop_
_atom_site_label
_atom_site_fract_x
_atom_site_fract_y
_atom_site_fract_z
Sc1 0.000 0.000 0.197
Tl1 0.500 0.500 0.500
Co1 0.500 0.500 0.000
```

***

Number 1: V 81.7 Å³ per cell. Number 2: V 108.9 Å³ per cell. Number 3: V 77.8 Å³ per cell.